(1)
Compound: Dy5Ga2Pb
Source: Alexandria
Functional: GGA-PBE
Structure: relaxed

Values from the calculation:
Magnetic moment ... 0.00 μB/cell
N(E_F) ... 0.81 states/eV per atom
E_tot ... -4.616 eV per atom
Energy of formation ... -11.98 kcal/mol of atoms

a b c (Å): 8.8578 8.8578 8.8578
angles (deg): 126.83 126.83 78.53
Last column: nearest neighbours and their distance in Å.
Positions (direct):
Dy 0.0000 0.0000 0.0000  4 Ga 3.09, 2 Pb 3.43
Dy 0.0173 0.5173 0.8197  3 Ga 3.03-3.05, 2 Pb 3.32
Dy 0.1975 0.0173 0.5000  3 Ga 3.03-3.05, 2 Pb 3.32
Dy 0.3025 0.8025 0.8197  3 Ga 3.03-3.05, 2 Pb 3.32
Dy 0.4827 0.3025 0.5000  3 Ga 3.03-3.05, 2 Pb 3.32
Dy 0.5000 0.5000 0.0000  4 Ga 3.09, 2 Pb 3.43
Dy 0.5173 0.6975 0.5000  3 Ga 3.03-3.05, 2 Pb 3.32
Dy 0.6975 0.1975 0.1803  3 Ga 3.03-3.05, 2 Pb 3.32
Dy 0.8025 0.9827 0.5000  3 Ga 3.03-3.05, 2 Pb 3.32
Dy 0.9827 0.4827 0.1803  3 Ga 3.03-3.05, 2 Pb 3.32
Ga 0.1343 0.3657 0.5000  1 Ga 3.01, 8 Dy 3.03-3.09
Ga 0.3657 0.8657 0.2314  1 Ga 3.01, 8 Dy 3.03-3.09
Ga 0.6343 0.1343 0.7686  1 Ga 3.01, 8 Dy 3.03-3.09
Ga 0.8657 0.6343 0.5000  1 Ga 3.01, 8 Dy 3.03-3.09
Pb 0.2500 0.2500 0.0000  10 Dy 3.32-3.43
Pb 0.7500 0.7500 0.0000  10 Dy 3.32-3.43

(2)
Compound: In2PSe
Source: Alexandria
Functional: GGA-PBE
Structure: relaxed

Values from the calculation:
Magnetic moment ... 0.00 μB/cell
N(E_F) ... 0.46 states/eV per atom
Relative energy among the computed polymorphs ... 0.350 eV per atom
E_tot ... -3.511 eV per atom

a b c (Å): 5.4824 5.4824 3.7951
angles (deg): 109.88 109.88 87.72
Last column: nearest neighbours and their distance in Å.
Positions (direct):
In 0.0000 0.5000 0.0000  2 Se 2.75, 2 P 2.75
In 0.5000 0.0000 0.0000  2 Se 2.75, 2 P 2.75
P 0.0000 0.0000 0.5000  4 In 2.75
Se 0.5000 0.5000 0.5000  4 In 2.75

(3)
Compound: LaSm2Tl9
Source: Alexandria
Functional: GGA-PBE
Structure: relaxed

Values from the calculation:
Magnetic moment ... 0.00 μB/cell
N(E_F) ... 0.37 states/eV per atom
E_tot ... -3.289 eV per atom
Energy of formation ... -7.30 kcal/mol of atoms

a b c (Å): 4.8379 4.8379 14.4910
angles (deg): 90.00 90.00 90.00
Last column: nearest neighbours and their distance in Å.
Positions (direct):
La 0.0000 0.0000 0.0000  12 Tl 3.42-3.46
Sm 0.0000 0.0000 0.3363  12 Tl 3.39-3.42
Sm 0.0000 0.0000 0.6637  12 Tl 3.39-3.42
Tl 0.0000 0.5000 0.1703  8 Tl 3.39-3.46, 2 Sm 3.41, 2 La 3.46
Tl 0.0000 0.5000 0.5000  4 Sm 3.39, 8 Tl 3.41-3.42
Tl 0.0000 0.5000 0.8297  8 Tl 3.39-3.46, 2 Sm 3.41, 2 La 3.46
Tl 0.5000 0.0000 0.1703  8 Tl 3.39-3.46, 2 Sm 3.41, 2 La 3.46
Tl 0.5000 0.0000 0.5000  4 Sm 3.39, 8 Tl 3.41-3.42
Tl 0.5000 0.0000 0.8297  8 Tl 3.39-3.46, 2 Sm 3.41, 2 La 3.46
Tl 0.5000 0.5000 0.0000  4 La 3.42, 8 Tl 3.46
Tl 0.5000 0.5000 0.3342  8 Tl 3.39-3.41, 4 Sm 3.42
Tl 0.5000 0.5000 0.6658  8 Tl 3.39-3.41, 4 Sm 3.42

(4)
Compound: La2AgHg
Source: Alexandria
Functional: GGA-PBE
Structure: relaxed

Values from the calculation:
Magnetic moment ... 0.00 μB/cell
N(E_F) ... 1.04 states/eV per atom
E_tot ... -3.318 eV per atom
Energy of formation ... -1.52 kcal/mol of atoms

a b c (Å): 9.8585 9.8585 9.8585
angles (deg): 22.37 22.37 22.37
Last column: nearest neighbours and their distance in Å.
Positions (direct):
La 0.0000 0.0000 0.0000  3 Ag 3.20
La 0.2306 0.2306 0.2306  3 Hg 3.31, 3 La 3.69
Ag 0.7471 0.7471 0.7471  3 Hg 2.89, 3 La 3.20
Hg 0.4786 0.4786 0.4786  3 Ag 2.89

- Which of these has the highest N(E_F)?
  La2AgHg